Entry from the Alexandria database: an optimized crystal structure of TbMg2SnRh4 (PBE).

calculated total energy = -5.841 eV/atom

a = 7.916 Å, b = 7.916 Å, c = 7.916 Å
α = 33.54°, β = 33.54°, γ = 33.54°
Atoms (fractional coordinates):
Tb 0.000 0.000 0.000
Mg 0.249 0.249 0.249
Mg 0.751 0.751 0.751
Sn 0.500 0.500 0.500
Rh 0.129 0.129 0.129
Rh 0.380 0.380 0.380
Rh 0.620 0.620 0.620
Rh 0.871 0.871 0.871



Entry from the Alexandria database: an optimized crystal structure of Mg2SnTeRh (PBE).

calculated total energy = -3.566 eV/atom

a = 5.039 Å, b = 5.039 Å, c = 5.035 Å
α = 90.00°, β = 90.00°, γ = 90.00°
Atoms (fractional coordinates):
Mg 0.000 0.500 0.000
Mg 0.500 0.000 0.000
Sn 0.000 0.000 0.500
Te 0.500 0.500 0.500
Rh 0.500 0.500 0.000



Entry from the Alexandria database: an optimized crystal structure of Th2MgSn3Rh4 (PBE).

calculated total energy = -6.452 eV/atom

a = 4.325 Å, b = 4.325 Å, c = 11.367 Å
α = 90.00°, β = 90.00°, γ = 90.00°
Atoms (fractional coordinates):
Th 0.000 0.500 0.245
Th 0.500 0.000 0.755
Mg 0.500 0.500 0.000
Sn 0.000 0.000 0.000
Sn 0.000 0.500 0.629
Sn 0.500 0.000 0.371
Rh 0.000 0.000 0.500
Rh 0.000 0.500 0.856
Rh 0.500 0.000 0.144
Rh 0.500 0.500 0.500



Entry from the Alexandria database: an optimized crystal structure of ThMgSn2Rh4 (PBE).

calculated total energy = -6.492 eV/atom

a = 8.962 Å, b = 8.962 Å, c = 8.962 Å
α = 28.80°, β = 28.80°, γ = 28.80°
Atoms (fractional coordinates):
Th 0.000 0.000 0.000
Mg 0.500 0.500 0.500
Sn 0.239 0.239 0.239
Sn 0.761 0.761 0.761
Rh 0.130 0.130 0.130
Rh 0.397 0.397 0.397
Rh 0.603 0.603 0.603
Rh 0.870 0.870 0.870



Entry from the Alexandria database: an optimized crystal structure of Mg5TlSn2Rh2 (PBE).

calculated total energy = -3.588 eV/atom

a = 9.582 Å, b = 9.582 Å, c = 4.397 Å
α = 90.00°, β = 90.00°, γ = 90.00°
Atoms (fractional coordinates):
Mg 0.000 0.500 0.000
Mg 0.081 0.211 0.000
Mg 0.211 0.919 0.000
Mg 0.289 0.419 0.000
Mg 0.419 0.711 0.000
Mg 0.500 0.000 0.000
Mg 0.581 0.289 0.000
Mg 0.711 0.581 0.000
Mg 0.789 0.081 0.000
Mg 0.919 0.789 0.000
Tl 0.000 0.000 0.500
Tl 0.500 0.500 0.500
Sn 0.170 0.670 0.500
Sn 0.330 0.170 0.500
Sn 0.670 0.830 0.500
Sn 0.830 0.330 0.500
Rh 0.121 0.379 0.500
Rh 0.379 0.879 0.500
Rh 0.621 0.121 0.500
Rh 0.879 0.621 0.500



Entry from the Alexandria database: an optimized crystal structure of TmMgSn4Rh2 (PBE).

calculated total energy = -4.825 eV/atom

a = 4.319 Å, b = 4.319 Å, c = 10.352 Å
α = 90.00°, β = 90.00°, γ = 90.00°
Atoms (fractional coordinates):
Tm 0.000 0.000 0.000
Mg 0.000 0.000 0.500
Sn 0.000 0.500 0.224
Sn 0.000 0.500 0.776
Sn 0.500 0.000 0.224
Sn 0.500 0.000 0.776
Rh 0.500 0.500 0.381
Rh 0.500 0.500 0.619



Entry from the Alexandria database: an optimized crystal structure of Y2MgSn2Rh5 (PBE).

calculated total energy = -6.485 eV/atom

a = 10.166 Å, b = 10.166 Å, c = 3.699 Å
α = 90.00°, β = 90.00°, γ = 90.00°
Atoms (fractional coordinates):
Y 0.170 0.330 0.000
Y 0.330 0.830 0.000
Y 0.670 0.170 0.000
Y 0.830 0.670 0.000
Mg 0.000 0.000 0.000
Mg 0.500 0.500 0.000
Sn 0.130 0.630 0.000
Sn 0.370 0.130 0.000
Sn 0.630 0.870 0.000
Sn 0.870 0.370 0.000
Rh 0.000 0.500 0.500
Rh 0.060 0.800 0.500
Rh 0.200 0.060 0.500
Rh 0.300 0.560 0.500
Rh 0.440 0.300 0.500
Rh 0.500 0.000 0.500
Rh 0.560 0.700 0.500
Rh 0.700 0.440 0.500
Rh 0.800 0.940 0.500
Rh 0.940 0.200 0.500



Entry from the Alexandria database: an optimized crystal structure of Mg2ZnSn2Rh2 (PBE).

calculated total energy = -4.204 eV/atom

a = 5.028 Å, b = 5.028 Å, c = 7.567 Å
α = 111.57°, β = 111.57°, γ = 51.09°
Atoms (fractional coordinates):
Mg 0.223 0.223 0.332
Mg 0.777 0.777 0.668
Zn 0.000 0.000 0.500
Sn 0.471 0.471 0.179
Sn 0.529 0.529 0.821
Rh 0.219 0.219 0.829
Rh 0.781 0.781 0.171



Entry from the Alexandria database: an optimized crystal structure of Mg5ZnSn2Rh2 (PBE).

calculated total energy = -3.486 eV/atom

a = 9.489 Å, b = 9.489 Å, c = 4.287 Å
α = 90.00°, β = 90.00°, γ = 90.00°
Atoms (fractional coordinates):
Mg 0.000 0.500 0.000
Mg 0.078 0.205 0.000
Mg 0.205 0.922 0.000
Mg 0.295 0.422 0.000
Mg 0.422 0.705 0.000
Mg 0.500 0.000 0.000
Mg 0.578 0.295 0.000
Mg 0.705 0.578 0.000
Mg 0.795 0.078 0.000
Mg 0.922 0.795 0.000
Zn 0.000 0.000 0.500
Zn 0.500 0.500 0.500
Sn 0.171 0.671 0.500
Sn 0.329 0.171 0.500
Sn 0.671 0.829 0.500
Sn 0.829 0.329 0.500
Rh 0.121 0.379 0.500
Rh 0.379 0.879 0.500
Rh 0.621 0.121 0.500
Rh 0.879 0.621 0.500



Entry from the Alexandria database: an optimized crystal structure of Mg2Zn2SnRh5 (PBE).

calculated total energy = -4.975 eV/atom

a = 9.314 Å, b = 9.314 Å, c = 3.717 Å
α = 90.00°, β = 90.00°, γ = 90.00°
Atoms (fractional coordinates):
Mg 0.169 0.331 0.000
Mg 0.331 0.831 0.000
Mg 0.669 0.169 0.000
Mg 0.831 0.669 0.000
Zn 0.127 0.627 0.000
Zn 0.373 0.127 0.000
Zn 0.627 0.873 0.000
Zn 0.873 0.373 0.000
Sn 0.000 0.000 0.000
Sn 0.500 0.500 0.000
Rh 0.000 0.500 0.500
Rh 0.084 0.804 0.500
Rh 0.196 0.084 0.500
Rh 0.304 0.584 0.500
Rh 0.416 0.304 0.500
Rh 0.500 0.000 0.500
Rh 0.584 0.696 0.500
Rh 0.696 0.416 0.500
Rh 0.804 0.916 0.500
Rh 0.916 0.196 0.500



Entry from the Alexandria database: an optimized crystal structure of Sr2Mg5Rh4 (PBE).

calculated total energy = -3.942 eV/atom

a = 7.078 Å, b = 7.078 Å, c = 8.397 Å
α = 124.90°, β = 124.90°, γ = 50.84°
Atoms (fractional coordinates):
Sr 0.219 0.219 0.286
Sr 0.781 0.781 0.714
Mg 0.192 0.712 0.273
Mg 0.288 0.808 0.727
Mg 0.500 0.500 0.000
Mg 0.712 0.192 0.273
Mg 0.808 0.288 0.727
Rh 0.147 0.147 0.578
Rh 0.284 0.284 0.974
Rh 0.716 0.716 0.026
Rh 0.853 0.853 0.422



Entry from the Alexandria database: an optimized crystal structure of Sr4MgRh (PBE).

calculated total energy = -2.751 eV/atom

a = 8.751 Å, b = 8.751 Å, c = 6.794 Å
α = 100.66°, β = 100.66°, γ = 111.73°
Atoms (fractional coordinates):
Sr 0.058 0.732 0.948
Sr 0.200 0.355 0.629
Sr 0.268 0.942 0.552
Sr 0.355 0.200 0.129
Sr 0.645 0.800 0.871
Sr 0.732 0.058 0.448
Sr 0.800 0.645 0.371
Sr 0.942 0.268 0.052
Mg 0.373 0.627 0.250
Mg 0.627 0.373 0.750
Rh 0.001 0.999 0.750
Rh 0.999 0.001 0.250